No. 1
Material: TmV2ZnO8
Method: DFT, GGA+U
State: optimized geometry

Lattice parameters (Å, degrees): 5.8710 5.8710 5.8710 107.14 107.14 114.25
Fractional coordinates of all 12 atoms:
Tm 0.2500 0.7500 0.5000
V 0.7500 0.2500 0.5000
V 0.5000 0.5000 0.0000
Zn 0.0000 0.0000 0.0000
O 0.3815 0.0766 0.3049
O 0.3335 0.5287 0.1951
O 0.3335 0.1384 0.8049
O 0.7717 0.0766 0.6951
O 0.8616 0.6665 0.1951
O 0.9234 0.2283 0.3049
O 0.9234 0.6185 0.6951
O 0.4713 0.6665 0.8049

Properties
E_tot in eV per atom: -7.00
SG: No. 119

=====

No. 2
Material: Tm2WO6
Method: DFT, GGA+U
State: optimized geometry

Lattice parameters (Å, degrees): 5.3339 7.6297 11.3494 75.22 90.00 90.00
Fractional coordinates of all 36 atoms:
Tm 0.7405 0.0000 0.7500
Tm 0.2595 0.0000 0.2500
Tm 0.1824 0.7940 0.5786
Tm 0.8176 0.7940 0.0786
Tm 0.6846 0.5000 0.7500
Tm 0.3154 0.5000 0.2500
Tm 0.1824 0.2060 0.9214
Tm 0.8176 0.2060 0.4214
W 0.2563 0.7235 0.8852
W 0.7437 0.7235 0.3852
W 0.2563 0.2765 0.6148
W 0.7437 0.2765 0.1148
O 0.0434 0.9410 0.8956
O 0.5388 0.8468 0.9306
O 0.9566 0.9410 0.3956
O 0.4593 0.7929 0.7254
O 0.4612 0.8468 0.4306
O 0.9777 0.7107 0.7704
O 0.5407 0.7929 0.2254
O 0.8486 0.6332 0.5500
O 0.3618 0.4879 0.8845
O 0.0223 0.7107 0.2704
O 0.3618 0.5121 0.6155
O 0.8486 0.3668 0.9500
O 0.1514 0.6332 0.0500
O 0.6382 0.4879 0.3845
O 0.9777 0.2893 0.7296
O 0.6382 0.5121 0.1155
O 0.1514 0.3668 0.4500
O 0.4593 0.2071 0.7746
O 0.0223 0.2893 0.2296
O 0.5388 0.1532 0.5694
O 0.5407 0.2071 0.2746
O 0.0434 0.0590 0.6044
O 0.4612 0.1532 0.0694
O 0.9566 0.0590 0.1044

Properties
Offset from the most stable computed form in meV/atom: 0.0
SG: No. 13

=====

No. 3
Material: Tm3WO6
Method: DFT, GGA+U
State: optimized geometry

Lattice parameters (Å, degrees): 6.5591 6.5591 6.5591 91.90 91.90 91.90
Fractional coordinates of all 20 atoms:
Tm 0.4411 0.9324 0.7475
Tm 0.9324 0.7475 0.4411
Tm 0.2525 0.5589 0.0676
Tm 0.7475 0.4411 0.9324
Tm 0.0676 0.2525 0.5589
Tm 0.5589 0.0676 0.2525
W 0.0000 0.0000 0.0000
W 0.5000 0.5000 0.5000
O 0.3133 0.9054 0.0713
O 0.0946 0.9287 0.6867
O 0.6004 0.8148 0.4698
O 0.9287 0.6867 0.0946
O 0.4698 0.6004 0.8148
O 0.1852 0.5302 0.3996
O 0.8148 0.4698 0.6004
O 0.5302 0.3996 0.1852
O 0.0713 0.3133 0.9054
O 0.3996 0.1852 0.5302
O 0.9054 0.0713 0.3133
O 0.6867 0.0946 0.9287

Properties
E_tot in eV per atom: -8.22
SG: No. 148

=====

No. 4
Material: TmWO5
Method: DFT, GGA+U
State: optimized geometry

Lattice parameters (Å, degrees): 12.6284 5.2719 6.9031 62.57 90.00 90.00
Fractional coordinates of all 28 atoms:
Tm 0.5556 0.6425 0.2155
Tm 0.4444 0.3575 0.7845
Tm 0.0556 0.3575 0.2845
Tm 0.9444 0.6425 0.7155
W 0.8623 0.8814 0.1564
W 0.1377 0.1186 0.8436
W 0.3623 0.1186 0.3436
W 0.6377 0.8814 0.6564
O 0.9162 0.5054 0.4474
O 0.0838 0.4946 0.5526
O 0.4162 0.4946 0.0526
O 0.5838 0.5054 0.9474
O 0.4291 0.9897 0.1559
O 0.5709 0.0103 0.8441
O 0.9291 0.0103 0.3441
O 0.0709 0.9897 0.6559
O 0.9322 0.6757 0.0352
O 0.0678 0.3243 0.9648
O 0.4322 0.3243 0.4648
O 0.5678 0.6757 0.5352
O 0.7248 0.7875 0.2112
O 0.2752 0.2125 0.7888
O 0.2248 0.2125 0.2888
O 0.7752 0.7875 0.7112
O 0.1418 0.7770 0.0850
O 0.8582 0.2230 0.9150
O 0.6418 0.2230 0.4150
O 0.3582 0.7770 0.5850

Properties
Offset from the most stable computed form in meV/atom: 0.0
SG: No. 14

=====

No. 5
Material: Tm2WO6
Method: DFT, GGA+U
State: optimized geometry

Lattice parameters (Å, degrees): 9.6158 9.6158 5.3464 77.53 77.53 69.70
Fractional coordinates of all 36 atoms:
Tm 0.9389 0.7171 0.3832
Tm 0.7171 0.9389 0.8832
Tm 0.3780 0.6220 0.2500
Tm 0.8935 0.1065 0.2500
Tm 0.1065 0.8935 0.7500
Tm 0.6220 0.3780 0.7500
Tm 0.2829 0.0611 0.1168
Tm 0.0611 0.2829 0.6168
W 0.8185 0.4973 0.0862
W 0.4973 0.8185 0.5862
W 0.5027 0.1815 0.4138
W 0.1815 0.5027 0.9138
O 0.8937 0.9251 0.0796
O 0.9251 0.8937 0.5796
O 0.5311 0.9657 0.2728
O 0.7783 0.6944 0.1415
O 0.9657 0.5311 0.7728
O 0.6944 0.7783 0.6415
O 0.8109 0.3795 0.4161
O 0.3795 0.8109 0.9161
O 0.6223 0.5356 0.0286
O 0.3143 0.8551 0.4274
O 0.5356 0.6223 0.5286
O 0.8551 0.3143 0.9274
O 0.1449 0.6857 0.0726
O 0.4644 0.3777 0.4714
O 0.6857 0.1449 0.5726
O 0.3777 0.4644 0.9714
O 0.6205 0.1891 0.0839
O 0.1891 0.6205 0.5839
O 0.3056 0.2217 0.3585
O 0.0343 0.4689 0.2272
O 0.2217 0.3056 0.8585
O 0.4689 0.0343 0.7272
O 0.0749 0.1063 0.4204
O 0.1063 0.0749 0.9204

Properties
Offset from the most stable computed form in meV/atom: 36.7
SG: No. 15

=====

No. 6
Material: TmW2O8
Method: DFT, GGA+U
State: optimized geometry

Lattice parameters (Å, degrees): 4.8511 4.8511 6.4221 112.19 112.19 90.00
Fractional coordinates of all 11 atoms:
Tm 0.5000 0.5000 0.0000
W 0.7500 0.2500 0.5000
W 0.2500 0.7500 0.5000
O 0.8896 0.3952 0.2849
O 0.1103 0.6047 0.7151
O 0.6048 0.1104 0.7151
O 0.1104 0.1103 0.7151
O 0.3953 0.8897 0.2849
O 0.8897 0.8896 0.2849
O 0.3952 0.3953 0.2849
O 0.6047 0.6048 0.7151

Properties
E_tot in eV per atom: -7.16
SG: No. 139

=====

No. 7
Material: Tm2WO6
Method: DFT, GGA+U
State: optimized geometry

Lattice parameters (Å, degrees): 5.5155 10.5100 16.0643 90.00 90.00 90.00
Fractional coordinates of all 72 atoms:
Tm 0.1009 0.3577 0.0604
Tm 0.6009 0.1423 0.0604
Tm 0.0438 0.1457 0.2269
Tm 0.5438 0.3543 0.2269
Tm 0.0438 0.6457 0.2731
Tm 0.5438 0.8543 0.2731
Tm 0.6009 0.6423 0.4396
Tm 0.1009 0.8577 0.4396
Tm 0.8991 0.1423 0.5604
Tm 0.3991 0.3577 0.5604
Tm 0.4562 0.1457 0.7269
Tm 0.9562 0.3543 0.7269
Tm 0.4562 0.6457 0.7731
Tm 0.9562 0.8543 0.7731
Tm 0.8991 0.6423 0.9396
Tm 0.3991 0.8577 0.9396
W 0.6133 0.6202 0.1209
W 0.1133 0.8798 0.1209
W 0.6133 0.1202 0.3791
W 0.1133 0.3798 0.3791
W 0.8867 0.6202 0.6209
W 0.3867 0.8798 0.6209
W 0.8867 0.1202 0.8791
W 0.3867 0.3798 0.8791
O 0.0776 0.7857 0.0217
O 0.5776 0.7143 0.0217
O 0.8841 0.5411 0.0711
O 0.3841 0.9589 0.0711
O 0.9033 0.0145 0.1081
O 0.4033 0.4855 0.1081
O 0.3202 0.2287 0.1444
O 0.8202 0.2713 0.1444
O 0.3384 0.7311 0.1744
O 0.8384 0.7689 0.1744
O 0.1904 0.9469 0.2314
O 0.6904 0.5531 0.2314
O 0.6904 0.0531 0.2686
O 0.1904 0.4469 0.2686
O 0.3384 0.2311 0.3256
O 0.8384 0.2689 0.3256
O 0.3202 0.7287 0.3556
O 0.8202 0.7713 0.3556
O 0.9033 0.5145 0.3919
O 0.4033 0.9855 0.3919
O 0.8841 0.0411 0.4289
O 0.3841 0.4589 0.4289
O 0.5776 0.2143 0.4783
O 0.0776 0.2857 0.4783
O 0.9224 0.7143 0.5217
O 0.4224 0.7857 0.5217
O 0.6159 0.5411 0.5711
O 0.1159 0.9589 0.5711
O 0.5967 0.0145 0.6081
O 0.0967 0.4855 0.6081
O 0.1798 0.2287 0.6444
O 0.6798 0.2713 0.6444
O 0.1616 0.7311 0.6744
O 0.6616 0.7689 0.6744
O 0.8096 0.5531 0.7314
O 0.3096 0.9469 0.7314
O 0.8096 0.0531 0.7686
O 0.3096 0.4469 0.7686
O 0.1616 0.2311 0.8256
O 0.6616 0.2689 0.8256
O 0.1798 0.7287 0.8556
O 0.6798 0.7713 0.8556
O 0.5967 0.5145 0.8919
O 0.0967 0.9855 0.8919
O 0.6159 0.0411 0.9289
O 0.1159 0.4589 0.9289
O 0.9224 0.2143 0.9783
O 0.4224 0.2857 0.9783

Properties
Offset from the most stable computed form in meV/atom: 0.8
SG: No. 61

=====

No. 8
Material: TmWO5
Method: DFT, GGA+U
State: optimized geometry

Lattice parameters (Å, degrees): 3.8373 5.5828 5.5828 72.35 69.90 69.90
Fractional coordinates of all 7 atoms:
Tm 0.5000 0.5000 0.5000
W 0.0000 0.0000 0.0000
O 0.7663 0.2338 0.2338
O 0.0000 0.2969 0.7031
O 0.5000 0.0000 0.0000
O 0.0000 0.7031 0.2969
O 0.2337 0.7662 0.7662

Properties
Offset from the most stable computed form in meV/atom: 6.6
SG: No. 71

=====

No. 9
Material: Tm4W6O19
Method: DFT, GGA+U
State: optimized geometry

Lattice parameters (Å, degrees): 7.8159 7.8159 7.8159 109.47 109.47 109.47
Fractional coordinates of all 29 atoms:
Tm 0.0000 0.0000 0.7154
Tm 0.0000 0.7154 0.0000
Tm 0.2846 0.2846 0.2846
Tm 0.7154 0.0000 0.0000
W 0.3566 0.5000 0.8566
W 0.6434 0.5000 0.1434
W 0.1434 0.6434 0.5000
W 0.8566 0.3566 0.5000
W 0.5000 0.8566 0.3566
W 0.5000 0.1434 0.6434
O 0.6854 0.0000 0.6854
O 0.3146 0.0000 0.3146
O 0.3146 0.3146 0.0000
O 0.6854 0.6854 0.0000
O 0.0000 0.6854 0.6854
O 0.0000 0.3146 0.3146
O 0.0000 0.0000 0.0000
O 0.3775 0.3327 0.6141
O 0.6225 0.2366 0.9552
O 0.7186 0.7634 0.3859
O 0.9552 0.6225 0.2366
O 0.2814 0.6673 0.0448
O 0.6141 0.3775 0.3327
O 0.0448 0.2814 0.6673
O 0.3859 0.7186 0.7634
O 0.6673 0.0448 0.2814
O 0.2366 0.9552 0.6225
O 0.3327 0.6141 0.3775
O 0.7634 0.3859 0.7186

Properties
E_tot in eV per atom: -7.76
SG: No. 197

=====

No. 10
Material: Tm2WO6
Method: DFT, GGA+U
State: optimized geometry

Lattice parameters (Å, degrees): 4.9575 4.9575 9.8716 90.00 90.00 90.00
Fractional coordinates of all 18 atoms:
Tm 0.5000 0.5000 0.3331
Tm 0.5000 0.5000 0.6669
Tm 0.0000 0.0000 0.1669
Tm 0.0000 0.0000 0.8331
W 0.5000 0.5000 0.0000
W 0.0000 0.0000 0.5000
O 0.6859 0.6859 0.1481
O 0.6859 0.6859 0.8519
O 0.7196 0.7196 0.5000
O 0.7804 0.2196 0.0000
O 0.8141 0.1859 0.3519
O 0.8141 0.1859 0.6481
O 0.1859 0.8141 0.3519
O 0.1859 0.8141 0.6481
O 0.2196 0.7804 0.0000
O 0.2804 0.2804 0.5000
O 0.3141 0.3141 0.1481
O 0.3141 0.3141 0.8519

Properties
Offset from the most stable computed form in meV/atom: 41.3
SG: No. 136

=====

No. 11
Material: Tm2WO6
Method: DFT, GGA+U
State: optimized geometry

Lattice parameters (Å, degrees): 5.2127 9.0630 9.8839 90.00 90.00 90.00
Fractional coordinates of all 36 atoms:
Tm 0.0140 0.3963 0.0343
Tm 0.0422 0.2812 0.6283
Tm 0.4578 0.7188 0.1283
Tm 0.4860 0.6037 0.5343
Tm 0.5140 0.1037 0.9657
Tm 0.5422 0.2188 0.3717
Tm 0.9578 0.7812 0.8717
Tm 0.9860 0.8963 0.4657
W 0.0366 0.0044 0.1526
W 0.4634 0.9956 0.6526
W 0.5366 0.4956 0.8474
W 0.9634 0.5044 0.3474
O 0.0948 0.6587 0.4680
O 0.1760 0.5460 0.1970
O 0.1764 0.8623 0.6813
O 0.1946 0.8570 0.2648
O 0.2368 0.3828 0.4310
O 0.2548 0.0886 0.5033
O 0.2452 0.9114 0.0033
O 0.2632 0.6172 0.9310
O 0.3054 0.1430 0.7648
O 0.3236 0.1377 0.1813
O 0.3240 0.4540 0.6970
O 0.4052 0.3413 0.9680
O 0.5948 0.8413 0.5320
O 0.6760 0.9540 0.8030
O 0.6764 0.6377 0.3187
O 0.6946 0.6430 0.7352
O 0.7368 0.1172 0.5690
O 0.7548 0.4114 0.4967
O 0.7452 0.5886 0.9967
O 0.7632 0.8828 0.0690
O 0.8054 0.3570 0.2352
O 0.8236 0.3623 0.8187
O 0.8240 0.0460 0.3030
O 0.9052 0.1587 0.0320

Properties
Offset from the most stable computed form in meV/atom: 10.9
SG: No. 19

=====

No. 12
Material: Tm6WO12
Method: DFT, GGA+U
State: optimized geometry

Lattice parameters (Å, degrees): 6.3965 6.3965 6.3965 98.78 98.78 98.78
Fractional coordinates of all 19 atoms:
Tm 0.8558 0.3894 0.6809
Tm 0.6106 0.3191 0.1442
Tm 0.3191 0.1442 0.6106
Tm 0.6809 0.8558 0.3894
Tm 0.3894 0.6809 0.8558
Tm 0.1442 0.6106 0.3191
W 0.0000 0.0000 0.0000
O 0.9185 0.0367 0.7005
O 0.9633 0.2995 0.0815
O 0.5897 0.1774 0.4291
O 0.8226 0.5709 0.4103
O 0.2995 0.0815 0.9633
O 0.5709 0.4103 0.8226
O 0.4291 0.5897 0.1774
O 0.7005 0.9185 0.0367
O 0.1774 0.4291 0.5897
O 0.4103 0.8226 0.5709
O 0.0367 0.7005 0.9185
O 0.0815 0.9633 0.2995

Properties
E_tot in eV per atom: -8.31
SG: No. 148

=====

No. 13
Material: Tm2WO6
Method: DFT, GGA+U
State: optimized geometry

Lattice parameters (Å, degrees): 5.4929 5.4143 8.9256 90.00 90.02 90.00
Fractional coordinates of all 18 atoms:
Tm 0.9998 0.4996 0.8002
Tm 0.5002 0.9996 0.6998
Tm 0.4998 0.0004 0.3002
Tm 0.0001 0.5004 0.1998
W 0.5000 0.5000 0.0000
W 0.0000 0.0000 0.5000
O 0.8539 0.7943 0.3420
O 0.8542 0.7935 0.6577
O 0.8056 0.6762 0.9998
O 0.6944 0.1762 0.5002
O 0.6458 0.2935 0.8423
O 0.6461 0.2943 0.1580
O 0.1461 0.2057 0.6580
O 0.1458 0.2065 0.3423
O 0.1944 0.3238 0.0002
O 0.3056 0.8238 0.4998
O 0.3542 0.7065 0.1577
O 0.3539 0.7057 0.8420

Properties
Offset from the most stable computed form in meV/atom: 42.5
SG: No. 58